Below is an optimized crystal structure of Li2CrAg, with properties calculated at the PBE-GGA level.

Space group = P4mm
Energy above the lowest structure with this stoichiometry = 172 meV per atom
Formation energy from the elements = 0.394 eV/atom
Final energy = -3.6820 eV/atom
Total magnetization = 1.1 μB/f.u.
DOS(E_F) = 3.4 states/eV/f.u.

Unit cell a=2.6434 b=2.6434 c=8.8437 alpha=90.00 beta=90.00 gamma=90.00
Closest atoms and distances in Å follow each position.
Sites, in units of the cell vectors:
Li 0.5000 0.5000 0.2655  4 Li 2.64, 4 Ag 2.81
Li 0.0000 0.0000 0.9844  4 Li 2.64, 4 Cr 2.81
Cr 0.5000 0.5000 0.7473  4 Cr 2.64, 4 Li 2.81, 4 Ag 2.86
Ag 0.0000 0.0000 0.5028  4 Ag 2.64, 4 Li 2.81, 4 Cr 2.86


Below is an optimized crystal structure of LiCr3Ag, with properties calculated at the PBE-GGA level.

Space group = Pm-3m
Energy above the lowest structure with this stoichiometry = 0 meV per atom
Formation energy from the elements = 1.410 eV/atom
Final energy = -5.3168 eV/atom
Total magnetization = 13.9 μB/f.u.
DOS(E_F) = 2.2 states/eV/f.u.

Unit cell a=5.0906 b=5.0906 c=5.0906 alpha=90.00 beta=90.00 gamma=90.00
Closest atoms and distances in Å follow each position.
Sites, in units of the cell vectors:
Cr 0.0000 0.0000 0.5000  2 Ag 2.55
Cr 0.5000 0.0000 0.0000  2 Ag 2.55
Cr 0.0000 0.5000 0.0000  2 Ag 2.55
Ag 0.0000 0.0000 0.0000  6 Cr 2.55
Li 0.5000 0.5000 0.5000  12 Cr 3.60


Below is an optimized crystal structure of Li2CrAg, with properties calculated at the PBE-GGA level.

Space group = Immm
Energy above the lowest structure with this stoichiometry = 0 meV per atom
Formation energy from the elements = 0.222 eV/atom
Final energy = -3.8540 eV/atom
Total magnetization = 4.2 μB/f.u.
DOS(E_F) = 1.5 states/eV/f.u.

Unit cell a=5.3500 b=5.3500 c=5.3500 alpha=145.27 beta=129.21 gamma=63.00
Closest atoms and distances in Å follow each position.
Sites, in units of the cell vectors:
Cr 0.2500 0.7500 0.5000  4 Ag 2.80, 4 Li 2.86
Li 0.5099 0.5099 0.0000  2 Ag 2.71, 4 Li 2.80, 2 Cr 2.86
Li 0.9901 0.9901 0.0000  2 Ag 2.71, 4 Li 2.80, 2 Cr 2.86
Ag 0.7500 0.2500 0.5000  4 Li 2.71, 4 Cr 2.80


Below is an optimized crystal structure of Li2CrAg, with properties calculated at the PBE-GGA level.

Space group = Cm
Energy above the lowest structure with this stoichiometry = 28 meV per atom
Formation energy from the elements = 0.250 eV/atom
Final energy = -3.8260 eV/atom
Total magnetization = 4.4 μB/f.u.
DOS(E_F) = 1.7 states/eV/f.u.

Unit cell a=5.2679 b=5.2679 c=4.4514 alpha=64.29 beta=64.29 gamma=36.62
Closest atoms and distances in Å follow each position.
Sites, in units of the cell vectors:
Cr 0.2504 0.2504 0.2502  7 Li 2.77-3.08, 3 Ag 2.84-3.08
Li 0.0074 0.0074 0.9922  2 Li 2.72, 4 Ag 2.77-2.78, 2 Cr 2.82
Li 0.7506 0.7506 0.7501  2 Ag 2.71, 2 Li 2.72, 4 Cr 2.77
Ag 0.4916 0.4916 0.5075  6 Li 2.71-2.78, 2 Cr 2.84


Below is an optimized crystal structure of Li2CrAg, with properties calculated at the PBE-GGA level.

Space group = C2/m
Energy above the lowest structure with this stoichiometry = 37 meV per atom
Formation energy from the elements = 0.259 eV/atom
Final energy = -3.8169 eV/atom
Total magnetization = 4.3 μB/f.u.
DOS(E_F) = 1.7 states/eV/f.u.

Unit cell a=5.0395 b=5.4316 c=2.8956 alpha=77.08 beta=84.68 gamma=116.05
Closest atoms and distances in Å follow each position.
Sites, in units of the cell vectors:
Li 0.5000 0.0000 0.5000  2 Ag 2.78, 2 Cr 2.78, 6 Li 2.79-3.02
Li 0.0000 0.0000 0.0000  2 Cr 2.78, 2 Ag 2.78, 6 Li 2.79-3.02
Cr 0.5000 0.5000 0.0000  4 Li 2.78, 4 Ag 2.79-3.02, 2 Cr 2.90
Ag 0.0000 0.5000 0.5000  4 Li 2.78, 4 Cr 2.79-3.02, 2 Ag 2.90


Below is an optimized crystal structure of LiCr3Ag, with properties calculated at the PBE-GGA level.

Space group = Pm-3m
Energy above the lowest structure with this stoichiometry = 90 meV per atom
Formation energy from the elements = 1.500 eV/atom
Final energy = -5.2272 eV/atom
Total magnetization = 0.0 μB/f.u.
DOS(E_F) = 3.7 states/eV/f.u.

Unit cell a=4.0228 b=4.0228 c=4.0228 alpha=90.00 beta=90.00 gamma=90.00
Closest atoms and distances in Å follow each position.
Sites, in units of the cell vectors:
Li 0.0000 0.0000 0.0000  6 Cr 2.01
Cr 0.5000 0.0000 0.0000  2 Li 2.01
Cr 0.0000 0.5000 0.0000  2 Li 2.01
Cr 0.0000 0.0000 0.5000  2 Li 2.01
Ag 0.5000 0.5000 0.5000  12 Cr 2.84


Below is an optimized crystal structure of LiCr2Ag, with properties calculated at the PBE-GGA level.

Space group = Pmmm
Energy above the lowest structure with this stoichiometry = 295 meV per atom
Formation energy from the elements = 0.564 eV/atom
Final energy = -5.4390 eV/atom
Total magnetization = 0.0 μB/f.u.
DOS(E_F) = 4.3 states/eV/f.u.

Unit cell a=2.5417 b=4.4540 c=4.7495 alpha=90.00 beta=90.00 gamma=90.00
Closest atoms and distances in Å follow each position.
Sites, in units of the cell vectors:
Li 0.5000 0.5000 0.2500  2 Ag 2.37, 2 Li 2.54
Ag 0.5000 0.5000 0.7500  2 Li 2.37, 2 Ag 2.54
Cr 0.0000 0.0000 0.4682  1 Cr 2.07
Cr 0.0000 0.0000 0.0318  1 Cr 2.07


Below is an optimized crystal structure of LiCr2Ag, with properties calculated at the PBE-GGA level.

Space group = P2/m
Energy above the lowest structure with this stoichiometry = 234 meV per atom
Formation energy from the elements = 0.503 eV/atom
Final energy = -5.4999 eV/atom
Total magnetization = 0.0 μB/f.u.
DOS(E_F) = 4.2 states/eV/f.u.

Unit cell a=4.6938 b=2.6245 c=4.5310 alpha=77.87 beta=90.00 gamma=90.00
Closest atoms and distances in Å follow each position.
Sites, in units of the cell vectors:
Cr 0.0000 0.9606 0.0381  1 Cr 2.00
Cr 0.0000 0.5394 0.4619  1 Cr 2.00
Ag 0.5000 0.7500 0.7500  2 Li 2.37, 2 Ag 2.62
Li 0.5000 0.2500 0.2500  2 Ag 2.37, 2 Li 2.62


Below is an optimized crystal structure of Li2CrAg, with properties calculated at the PBE-GGA level.

Space group = Cmm2
Energy above the lowest structure with this stoichiometry = 155 meV per atom
Formation energy from the elements = 0.376 eV/atom
Final energy = -3.6995 eV/atom
Total magnetization = 1.7 μB/f.u.
DOS(E_F) = 2.7 states/eV/f.u.

Unit cell a=2.6538 b=2.6538 c=9.3965 alpha=90.00 beta=90.00 gamma=108.61
Closest atoms and distances in Å follow each position.
Sites, in units of the cell vectors:
Cr 0.5000 0.5000 0.7496  4 Cr 2.65, 2 Li 2.71, 2 Ag 2.80
Ag 0.0000 0.0000 0.5014  4 Ag 2.65, 2 Li 2.73, 2 Cr 2.80
Li 0.5000 0.5000 0.2622  4 Li 2.65, 2 Ag 2.73
Li 0.0000 0.0000 0.9868  4 Li 2.65, 2 Cr 2.71


Below is an optimized crystal structure of LiCr2Ag, with properties calculated at the PBE-GGA level.

Space group = P4mm
Energy above the lowest structure with this stoichiometry = 0 meV per atom
Formation energy from the elements = 0.269 eV/atom
Final energy = -5.7339 eV/atom
Total magnetization = 0.1 μB/f.u.
DOS(E_F) = 1.7 states/eV/f.u.

Unit cell a=3.0770 b=3.0775 c=6.1221 alpha=90.00 beta=90.00 gamma=90.00
Closest atoms and distances in Å follow each position.
Sites, in units of the cell vectors:
Ag 0.5000 0.5000 0.7367  4 Li 2.63, 4 Cr 2.87
Cr 0.5000 0.5000 0.2245  4 Cr 2.44
Cr 0.0000 0.0000 0.0427  4 Cr 2.44
Li 0.0000 0.0000 0.4960  4 Ag 2.63, 5 Cr 2.74-2.78


Below is an optimized crystal structure of Li2CrAg, with properties calculated at the PBE-GGA level.

Space group = P4/mmm
Energy above the lowest structure with this stoichiometry = 6 meV per atom
Formation energy from the elements = 0.227 eV/atom
Final energy = -3.8485 eV/atom
Total magnetization = 4.6 μB/f.u.
DOS(E_F) = 1.3 states/eV/f.u.

Unit cell a=4.0607 b=4.0607 c=4.0110 alpha=90.00 beta=90.00 gamma=90.00
Closest atoms and distances in Å follow each position.
Sites, in units of the cell vectors:
Ag 0.5000 0.0000 0.5000  8 Li 2.85, 4 Cr 2.87
Li 0.0000 0.0000 0.0000  4 Cr 2.85, 4 Ag 2.85, 4 Li 2.87
Li 0.5000 0.5000 0.0000  4 Ag 2.85, 4 Cr 2.85, 4 Li 2.87
Cr 0.0000 0.5000 0.5000  8 Li 2.85, 4 Ag 2.87


Below is an optimized crystal structure of Li2CrAg, with properties calculated at the PBE-GGA level.

Space group = Pmm2
Energy above the lowest structure with this stoichiometry = 34 meV per atom
Formation energy from the elements = 0.255 eV/atom
Final energy = -3.8201 eV/atom
Total magnetization = 4.5 μB/f.u.
DOS(E_F) = 1.4 states/eV/f.u.

Unit cell a=2.9557 b=4.0755 c=5.6814 alpha=90.00 beta=90.00 gamma=90.00
Closest atoms and distances in Å follow each position.
Sites, in units of the cell vectors:
Ag 0.0000 0.0000 0.5021  6 Li 2.82-2.87, 4 Cr 2.86, 2 Ag 2.96
Li 0.5000 0.5000 0.2576  2 Cr 2.75-2.93, 4 Ag 2.87, 6 Li 2.92-2.96
Li 0.0000 0.0000 0.9985  2 Ag 2.82-2.86, 4 Cr 2.91, 6 Li 2.92-2.96
Cr 0.5000 0.5000 0.7418  6 Li 2.75-2.93, 4 Ag 2.86, 2 Cr 2.96


Please write out number 6 again, unchanged.
Below is an optimized crystal structure of LiCr3Ag, with properties calculated at the PBE-GGA level.

Space group = Pm-3m
Energy above the lowest structure with this stoichiometry = 90 meV per atom
Formation energy from the elements = 1.500 eV/atom
Final energy = -5.2272 eV/atom
Total magnetization = 0.0 μB/f.u.
DOS(E_F) = 3.7 states/eV/f.u.

Unit cell a=4.0228 b=4.0228 c=4.0228 alpha=90.00 beta=90.00 gamma=90.00
Closest atoms and distances in Å follow each position.
Sites, in units of the cell vectors:
Li 0.0000 0.0000 0.0000  6 Cr 2.01
Cr 0.5000 0.0000 0.0000  2 Li 2.01
Cr 0.0000 0.5000 0.0000  2 Li 2.01
Cr 0.0000 0.0000 0.5000  2 Li 2.01
Ag 0.5000 0.5000 0.5000  12 Cr 2.84


Q: Look up the formation energy from the elements of the second one.
A: 1.410 eV/atom